1.
DFT (GGA-PBE) results for a relaxed AlOs4Pt crystal.

Output
The total DFT energy (no corrections) is -50.79 eV/f.u.

The structure in extended XYZ format:
```
6
Lattice="0.000 3.629 3.629 3.629 0.000 3.629 3.629 3.629 0.000" Properties=species:S:1:pos:R:3 pbc="T T T"
Al 0.000 0.000 0.000
Os 2.725 2.725 2.725
Os 4.533 4.533 2.725
Os 4.533 2.725 4.533
Os 2.725 4.533 4.533
Pt 5.444 5.444 5.444
```

2.
DFT (GGA-PBE) results for a relaxed Al3OsPt crystal.

Output
The total DFT energy (no corrections) is -27.11 eV/f.u. As for the energy above the most stable polymorph in this dataset: 0.000 eV/atom.

The structure in extended XYZ format:
```
5
Lattice="4.637 0.000 0.000 0.000 4.637 0.000 0.000 0.000 4.637" Properties=species:S:1:pos:R:3 pbc="T T T"
Al 0.000 0.000 2.318
Al 0.000 2.318 0.000
Al 2.318 0.000 0.000
Os 0.000 0.000 0.000
Pt 2.318 2.318 2.318
```

3.
DFT (GGA-PBE) results for a relaxed Al2OsPt crystal.

Output
The total DFT energy (no corrections) is -27.04 eV/f.u.

The structure in extended XYZ format:
```
8
Lattice="9.379 0.000 0.000 0.000 2.950 0.000 -1.315 0.000 4.181" Properties=species:S:1:pos:R:3 pbc="T T T"
Al 0.000 0.000 0.000
Al 1.464 0.000 2.584
Al 4.690 1.475 0.000
Al 6.154 1.475 2.584
Os -0.644 1.475 2.135
Os 4.046 0.000 2.135
Pt 2.141 1.475 0.486
Pt 6.831 0.000 0.486
```

4.
DFT (GGA-PBE) results for a relaxed Al2OsPt crystal.

Output
The total DFT energy (no corrections) is -25.26 eV/f.u.

The structure in extended XYZ format:
```
16
Lattice="6.208 0.000 0.000 0.000 6.208 0.000 0.000 0.000 6.208" Properties=species:S:1:pos:R:3 pbc="T T T"
Al 0.000 0.000 0.000
Al 0.000 3.104 3.104
Al 1.552 1.552 1.552
Al 1.552 4.656 4.656
Al 3.104 0.000 3.104
Al 3.104 3.104 0.000
Al 4.656 1.552 4.656
Al 4.656 4.656 1.552
Os 1.552 1.552 4.656
Os 1.552 4.656 1.552
Os 4.656 1.552 1.552
Os 4.656 4.656 4.656
Pt 0.000 0.000 3.104
Pt 0.000 3.104 0.000
Pt 3.104 0.000 0.000
Pt 3.104 3.104 3.104
```